No. 1
MgTaSb2: single point on PBEsol structure, SCAN.

Summary:
E_form (uncorrected)	11.3	kJ per mole of atoms
N(E_F)	2.78	states/eV/f.u.
space-group type	P4mm

abc: 3.866 3.866 5.739
angles: 90.00 90.00 90.00
Atoms (fractional coordinates):
1 Ta 0.000 0.000 0.470
2 Sb 0.500 0.500 0.298
3 Sb 0.000 0.000 0.955
4 Mg 0.500 0.500 0.776

No. 2
MgTaSb: single point on PBEsol structure, SCAN.

Summary:
E_form (uncorrected)	31.5	kJ per mole of atoms
N(E_F)	3.75	states/eV/f.u.
space-group type	P-6m2

abc: 2.933 4.897 4.897
angles: 120.00 90.00 90.00
Atoms (fractional coordinates):
1 Ta 0.499 0.333 0.667
2 Mg 0.000 0.000 0.000
3 Sb 0.501 0.667 0.333

No. 3
MgTaSb2: single point on PBEsol structure, SCAN.

Summary:
E_form (uncorrected)	21.9	kJ per mole of atoms
N(E_F)	2.71	states/eV/f.u.
space-group type	R3m

abc: 3.126 3.126 11.024
angles: 81.85 81.85 60.00
Atoms (fractional coordinates):
1 Sb 0.988 0.988 0.036
2 Sb 0.765 0.765 0.706
3 Mg 0.244 0.244 0.268
4 Ta 0.503 0.503 0.490

No. 4
MgTa2Sb: single point on PBEsol structure, SCAN.

Summary:
E_form (uncorrected)	35.3	kJ per mole of atoms
N(E_F)	2.54	states/eV/f.u.
space-group type	Cmmm

abc: 2.963 2.963 9.201
angles: 90.00 90.00 107.62
Atoms (fractional coordinates):
1 Ta 0.000 0.000 0.241
2 Ta 0.000 0.000 0.759
3 Mg 0.500 0.500 0.500
4 Sb 0.500 0.500 0.000

No. 5
MgTaSb: single point on PBEsol structure, SCAN.

Summary:
E_form (uncorrected)	18.6	kJ per mole of atoms
N(E_F)	0.73	states/eV/f.u.
space-group type	Fmm2

abc: 3.035 3.035 7.407
angles: 98.70 98.70 105.16
Atoms (fractional coordinates):
1 Ta 0.668 0.668 0.336
2 Mg 0.015 0.015 0.031
3 Sb 0.317 0.317 0.633

No. 6
MgTaSb2: single point on PBEsol structure, SCAN.

Summary:
E_form (uncorrected)	13.4	kJ per mole of atoms
N(E_F)	2.81	states/eV/f.u.
space-group type	Cmm2

abc: 3.027 3.027 10.191
angles: 90.00 90.00 103.94
Atoms (fractional coordinates):
1 Ta 0.000 0.000 0.491
2 Mg 0.500 0.500 0.270
3 Sb 0.000 0.000 0.035
4 Sb 0.500 0.500 0.705

No. 7
MgTa2Sb: single point on PBEsol structure, SCAN.

Summary:
E_form (uncorrected)	22.4	kJ per mole of atoms
N(E_F)	4.21	states/eV/f.u.
space-group type	R3m

abc: 3.225 3.225 9.439
angles: 80.16 80.16 60.00
Atoms (fractional coordinates):
1 Ta 0.742 0.742 0.773
2 Ta 0.004 0.004 0.987
3 Sb 0.257 0.257 0.228
4 Mg 0.496 0.496 0.512

No. 8
MgTaSb: single point on PBEsol structure, SCAN.

Summary:
E_form (uncorrected)	58.5	kJ per mole of atoms
N(E_F)	1.53	states/eV/f.u.
space-group type	F-43m

abc: 4.604 4.604 4.604
angles: 60.00 60.00 60.00
Atoms (fractional coordinates):
1 Sb 0.250 0.250 0.250
2 Mg 0.500 0.500 0.500
3 Ta 0.000 0.000 0.000

No. 9
Mg2TcSb: single point on PBEsol structure, SCAN.

Summary:
E_form (uncorrected)	-4.5	kJ per mole of atoms
N(E_F)	0.99	states/eV/f.u.
space-group type	P4mm

abc: 3.417 3.417 6.305
angles: 90.00 90.00 90.00
Atoms (fractional coordinates):
1 Mg 0.500 0.500 0.253
2 Mg 0.000 0.000 0.978
3 Tc 0.500 0.500 0.738
4 Sb 0.000 0.000 0.531

No. 10
MgZrSbTe2: single point on PBEsol structure, SCAN.

Summary:
E_form (uncorrected)	66.7	kJ per mole of atoms
N(E_F)	5.52	states/eV/f.u.
space-group type	P4/mmm

abc: 5.131 5.131 5.467
angles: 90.00 90.00 90.00
Atoms (fractional coordinates):
1 Sb 0.500 0.500 0.500
2 Zr 0.000 0.000 0.500
3 Te 0.000 0.500 0.000
4 Te 0.500 0.000 0.000
5 Mg 0.000 0.000 0.000

No. 11
MgTi3Sb: single point on PBEsol structure, SCAN.

Summary:
E_form (uncorrected)	67.1	kJ per mole of atoms
N(E_F)	5.60	states/eV/f.u.
space-group type	Pm-3m

abc: 4.982 4.982 4.982
angles: 90.00 90.00 90.00
Atoms (fractional coordinates):
1 Mg 0.500 0.500 0.500
2 Ti 0.000 0.500 0.000
3 Ti 0.000 0.000 0.500
4 Ti 0.500 0.000 0.000
5 Sb 0.000 0.000 0.000

No. 12
Mg2TiSb: single point on PBEsol structure, SCAN.

Summary:
E_form (uncorrected)	17.5	kJ per mole of atoms
N(E_F)	2.33	states/eV/f.u.
space-group type	I-42d

abc: 5.514 6.339 6.339
angles: 79.10 64.22 64.22
Atoms (fractional coordinates):
1 Mg 0.875 0.017 0.483
2 Mg 0.642 0.483 0.983
3 Mg 0.108 0.517 0.017
4 Mg 0.375 0.983 0.517
5 Ti 0.250 0.500 0.500
6 Ti 0.500 0.000 0.000
7 Sb 0.750 0.500 0.500
8 Sb 0.000 0.000 0.000

No. 13
MgTlSb2: single point on PBEsol structure, SCAN.

Summary:
E_form (uncorrected)	1.9	kJ per mole of atoms
N(E_F)	1.92	states/eV/f.u.
space-group type	Immm

abc: 3.974 5.031 6.056
angles: 114.54 109.15 90.00
Atoms (fractional coordinates):
1 Sb 0.734 0.734 0.467
2 Sb 0.266 0.266 0.533
3 Mg 0.000 0.500 0.000
4 Tl 0.500 0.000 0.000

No. 14
MgTlSb: single point on PBEsol structure, SCAN.

Summary:
E_form (uncorrected)	-16.2	kJ per mole of atoms
space-group type	F-43m

abc: 4.914 4.914 4.914
angles: 60.00 60.00 60.00
Atoms (fractional coordinates):
1 Mg 0.750 0.750 0.750
2 Tl 0.500 0.500 0.500
3 Sb 0.000 0.000 0.000

No. 15
MgTlSb: single point on PBEsol structure, SCAN.

Summary:
E_form (uncorrected)	-4.0	kJ per mole of atoms
N(E_F)	1.42	states/eV/f.u.
space-group type	I4mm

abc: 3.398 3.398 7.018
angles: 104.01 104.01 90.00
Atoms (fractional coordinates):
1 Sb 0.650 0.650 0.300
2 Mg 0.005 0.005 0.009
3 Tl 0.345 0.345 0.691